VASP calculation (PBE) on a relaxed structure of CeSm3Ho5.

Magnetization in Bohr magnetons per cell: 2.3
ΔE_f in eV/atom: 0.4297

Unit cell a=9.2404 b=9.2404 c=12.1242 alpha=54.13 beta=54.13 gamma=52.65
Closest atoms and distances in Å follow each position.
Atoms (fractional coordinates):
Ce  0.8941  0.8941  0.8744  1 Sm 2.98, 1 Ho 3.19
Ce  0.1059  0.1059  0.1256  1 Sm 2.98, 1 Ho 3.19
Sm  0.6931  0.6931  0.7014  1 Sm 3.19, 5 Ho 3.23-3.46
Sm  0.8387  0.8387  0.3557  2 Sm 3.19-3.27, 1 Ce 3.35
Sm  0.0000  0.0000  0.0000  2 Ho 2.61
Sm  0.0000  0.0000  0.5000  2 Ce 3.64, 4 Ho 3.76, 4 Sm 3.95-4.04
Sm  0.3069  0.3069  0.2986  1 Sm 3.19, 5 Ho 3.23-3.46
Sm  0.1613  0.1613  0.6443  2 Sm 3.19-3.27, 1 Ce 3.35
Ho  0.9081  0.5127  0.2277  4 Ho 3.24-3.63, 1 Sm 3.35
Ho  0.3187  0.6813  0.0000  1 Sm 2.61
Ho  0.6439  0.6439  0.0487  7 Ho 3.18-3.55, 1 Ce 3.19
Ho  0.4470  0.4470  0.4193  6 Ho 3.38-3.72, 2 Sm 3.46-3.60
Ho  0.5530  0.5530  0.5807  6 Ho 3.38-3.72, 2 Sm 3.46-3.60
Ho  0.3561  0.3561  0.9513  7 Ho 3.18-3.55, 1 Ce 3.19
Ho  0.5127  0.9081  0.2277  4 Ho 3.24-3.63, 1 Sm 3.35
Ho  0.6813  0.3187  0.0000  1 Sm 2.61
Ho  0.0919  0.4873  0.7723  4 Ho 3.24-3.63, 1 Sm 3.35
Ho  0.4873  0.0919  0.7723  4 Ho 3.24-3.63, 1 Sm 3.35

VASP calculation (PBE) on a relaxed structure of CeSm6Ho.

Magnetization in Bohr magnetons per cell: 0.9
ΔE_f in eV/atom: 0.0489

Unit cell a=5.0945 b=5.0945 c=10.1905 alpha=90.00 beta=90.00 gamma=90.00
Closest atoms and distances in Å follow each position.
Atoms (fractional coordinates):
Ce  0.0000  0.0000  0.5000  12 Sm 3.60
Sm  0.5000  0.5000  0.0000  4 Ho 3.60, 8 Sm 3.61
Sm  0.5000  0.5000  0.5000  8 Sm 3.60, 4 Ce 3.60
Sm  0.5000  0.0000  0.2510  8 Sm 3.60-3.61, 2 Ce 3.60, 2 Ho 3.61
Sm  0.5000  0.0000  0.7490  8 Sm 3.60-3.61, 2 Ce 3.60, 2 Ho 3.61
Sm  0.0000  0.5000  0.2510  2 Ce 3.60, 8 Sm 3.60-3.61, 2 Ho 3.61
Sm  0.0000  0.5000  0.7490  2 Ce 3.60, 8 Sm 3.60-3.61, 2 Ho 3.61
Ho  0.0000  0.0000  0.0000  12 Sm 3.60-3.61